Record 1
Computed, not measured: an optimized crystal structure of GdYTlOs at the PBE level of DFT.

Cell lengths 7.205, 7.205, 7.205 Å; angles 90.00, 90.00, 90.00 degrees
Space group F-43m (No. 216)
Symmetry-distinct sites (fractional):
Gd (0.000, 0.000, 0.000) [4 per cell]
Y (0.000, 0.000, 0.500) [4 per cell]
Tl (0.250, 0.250, 0.750) [4 per cell]
Os (0.250, 0.250, 0.250) [4 per cell]

Output
energy of formation from the pure elements	-0.1322	eV/atom

=====

Record 2
Computed, not measured: an optimized crystal structure of GdTmOs2 at the PBE level of DFT.

Cell lengths 4.805, 4.805, 3.402 Å; angles 90.00, 90.00, 90.00 degrees
Space group P4/mmm (No. 123)
Symmetry-distinct sites (fractional):
Gd (0.000, 0.000, 0.000) [1 per cell]
Tm (0.500, 0.500, 0.000) [1 per cell]
Os (0.000, 0.500, 0.500) [2 per cell]

Output
energy of formation from the pure elements	-0.0356	eV/atom

=====

Record 3
Computed, not measured: an optimized crystal structure of GdTmOs at the PBE level of DFT.

Cell lengths 3.384, 3.384, 13.132 Å; angles 90.00, 90.00, 90.00 degrees
Space group I4mm (No. 107)
Symmetry-distinct sites (fractional):
Gd (0.000, 0.000, 0.000) [2 per cell]
Tm (0.000, 0.000, 0.252) [2 per cell]
Os (0.000, 0.000, 0.630) [2 per cell]

Output
energy of formation from the pure elements	-0.2416	eV/atom
polymorph energy (0 for the lowest one)	0	meV per atom

=====

Record 4
Computed, not measured: an optimized crystal structure of Gd2TmOs at the PBE level of DFT.

Cell lengths 3.402, 3.402, 9.333 Å; angles 90.00, 90.00, 90.00 degrees
Space group P4/mmm (No. 123)
Symmetry-distinct sites (fractional):
Gd (0.000, 0.000, 0.182) [2 per cell]
Tm (0.500, 0.500, 0.500) [1 per cell]
Os (0.500, 0.500, 0.000) [1 per cell]

Output
energy of formation from the pure elements	-0.0379	eV/atom
polymorph energy (0 for the lowest one)	0	meV per atom

=====

Record 5
Computed, not measured: an optimized crystal structure of GdTmOs4 at the PBE level of DFT.

Cell lengths 7.570, 7.570, 7.570 Å; angles 90.00, 90.00, 90.00 degrees
Space group F-43m (No. 216)
Symmetry-distinct sites (fractional):
Gd (0.000, 0.000, 0.000) [4 per cell]
Tm (0.250, 0.250, 0.750) [4 per cell]
Os (0.125, 0.125, 0.375) [16 per cell]

Output
energy of formation from the pure elements	-0.2682	eV/atom

=====

Record 6
Computed, not measured: an optimized crystal structure of GdTmOs at the PBE level of DFT.

Cell lengths 6.742, 6.742, 6.742 Å; angles 90.00, 90.00, 90.00 degrees
Space group F-43m (No. 216)
Symmetry-distinct sites (fractional):
Gd (0.000, 0.000, 0.000) [4 per cell]
Tm (0.000, 0.000, 0.500) [4 per cell]
Os (0.250, 0.250, 0.250) [4 per cell]

Output
energy of formation from the pure elements	-0.2156	eV/atom
polymorph energy (0 for the lowest one)	26	meV per atom

=====

Record 7
Computed, not measured: an optimized crystal structure of GdTm2Os at the PBE level of DFT.

Cell lengths 3.3863, 3.3863, 32.3007 Å; angles 90.00, 90.00, 120.00 degrees
Space group R-3m (No. 166, hexagonal axes)
Symmetry-distinct sites (fractional):
Gd (0.0000, 0.0000, 0.0000) [3 per cell]
Tm (0.0000, 0.0000, 0.1046) [6 per cell]
Os (0.0000, 0.0000, 0.5000) [3 per cell]

Output
energy of formation from the pure elements	0.2165	eV/atom

=====

Record 8
Computed, not measured: an optimized crystal structure of Gd2TmOs at the PBE level of DFT.

Cell lengths 3.4530, 3.4530, 32.2876 Å; angles 90.00, 90.00, 120.00 degrees
Space group R-3m (No. 166, hexagonal axes)
Symmetry-distinct sites (fractional):
Gd (0.0000, 0.0000, 0.1042) [6 per cell]
Tm (0.0000, 0.0000, 0.0000) [3 per cell]
Os (0.0000, 0.0000, 0.5000) [3 per cell]

Output
energy of formation from the pure elements	0.2968	eV/atom
polymorph energy (0 for the lowest one)	335	meV per atom